DFT (PBE-GGA) results for crystalline Ti2CdBiMo at its relaxed geometry.

abc: 5.072 5.072 5.202
angles: 90.00 90.00 90.00
Site moments in Bohr magnetons follow the coordinates.
Element x y z (fractional)
1 Mo 0.500 0.500 0.500  -0.13
2 Ti 0.000 0.500 0.000  0.24
3 Ti 0.500 0.000 0.000  0.24
4 Bi 0.000 0.000 0.000  0.02
5 Cd 0.000 0.000 0.500  0.00

Values from the calculation:
- E_form (eV/f.u.) = 8.9
- magnetization (μB/cell) = 0.5